# 1
The following is a PBE-GGA calculation of an optimized crystal structure of Pm2Er3In3, from Alexandria.

Output
Formation energy ... -346 meV per atom

a = 4.8959 Å, b = 4.9557 Å, c = 9.2177 Å
α = 90.00°, β = 90.00°, γ = 90.00°
Last column: nearest neighbours and their distance in Å.
Atoms (fractional coordinates):
Pm1 0.0000 0.0000 0.7431  6 In 3.32-3.43, 6 Er 3.41-3.48
Pm2 0.0000 0.0000 0.2569  6 In 3.32-3.43, 6 Er 3.41-3.48
Er1 0.5000 0.5000 0.7314  6 In 3.25-3.48, 4 Pm 3.48, 2 Er 3.50
Er2 0.5000 0.5000 0.2686  6 In 3.25-3.48, 4 Pm 3.48, 2 Er 3.50
Er3 0.5000 0.0000 0.0000  4 Pm 3.41, 4 In 3.48, 4 Er 3.50
In1 0.5000 0.0000 0.5000  4 Er 3.27, 4 Pm 3.32, 4 In 3.48
In2 0.0000 0.5000 0.0000  4 Pm 3.43, 8 Er 3.48
In3 0.0000 0.5000 0.5000  4 Er 3.25, 4 Pm 3.34, 4 In 3.48

---

# 2
The following is a PBE-GGA calculation of an optimized crystal structure of Pm2Pr2Er2In, from Alexandria.

Output
Formation energy ... -29 meV per atom

a = 3.6983 Å, b = 6.4336 Å, c = 11.5469 Å
α = 116.26°, β = 90.00°, γ = 106.70°
Last column: nearest neighbours and their distance in Å.
Atoms (fractional coordinates):
Pm1 0.6844 0.3688 0.0920  2 Er 3.55, 4 Pr 3.56-3.75, 4 Pm 3.70
Pm2 0.3156 0.6312 0.9080  2 Er 3.55, 4 Pr 3.56-3.75, 4 Pm 3.70
Pr1 0.5178 0.0356 0.7452  2 In 3.30, 1 Pm 3.56, 3 Er 3.59-3.62, 2 Pr 3.70
Pr2 0.4822 0.9644 0.2548  2 In 3.30, 1 Pm 3.56, 3 Er 3.59-3.62, 2 Pr 3.70
Er1 0.7363 0.4726 0.6169  2 In 3.18, 2 Er 3.42, 2 Pm 3.55
Er2 0.2637 0.5274 0.3831  2 In 3.18, 2 Er 3.42, 2 Pm 3.55
In1 0.0000 0.0000 0.5000  4 Er 3.18, 4 Pr 3.30

---

# 3
The following is a PBE-GGA calculation of an optimized crystal structure of Pm2PrErIn4, from Alexandria.

Output
Formation energy ... -477 meV per atom

a = 5.4154 Å, b = 5.4154 Å, c = 9.4133 Å
α = 73.28°, β = 73.28°, γ = 60.00°
Last column: nearest neighbours and their distance in Å.
Atoms (fractional coordinates):
Pm1 0.7509 0.7509 0.7472  8 In 3.26-3.40
Pm2 0.2491 0.2491 0.2528  8 In 3.26-3.40
Pr1 0.0000 0.0000 0.0000  8 In 3.33-3.37
Er1 0.5000 0.5000 0.5000  8 In 3.28-3.30
In1 0.3768 0.3768 0.8697  1 Er 3.28, 4 Pm 3.31-3.40, 3 Pr 3.33
In2 0.8734 0.8734 0.3797  4 Pm 3.26-3.32, 3 Er 3.30, 1 Pr 3.37
In3 0.1266 0.1266 0.6203  4 Pm 3.26-3.32, 3 Er 3.30, 1 Pr 3.37
In4 0.6232 0.6232 0.1303  1 Er 3.28, 4 Pm 3.31-3.40, 3 Pr 3.33

---

# 4
The following is a PBE-GGA calculation of an optimized crystal structure of PmPrEr2In4, from Alexandria.

Output
Formation energy ... -465 meV per atom

a = 5.3787 Å, b = 5.3787 Å, c = 9.3359 Å
α = 73.26°, β = 73.26°, γ = 60.00°
Last column: nearest neighbours and their distance in Å.
Atoms (fractional coordinates):
Pm1 0.5000 0.5000 0.5000  8 In 3.28-3.29
Pr1 0.0000 0.0000 0.0000  8 In 3.30-3.32
Er1 0.7501 0.7501 0.7498  8 In 3.28-3.32
Er2 0.2499 0.2499 0.2502  8 In 3.28-3.32
In1 0.3756 0.3756 0.8731  1 Pm 3.28, 4 Er 3.29-3.32, 3 Pr 3.30
In2 0.8743 0.8743 0.3770  4 Er 3.28-3.30, 3 Pm 3.29, 1 Pr 3.32
In3 0.1257 0.1257 0.6230  4 Er 3.28-3.30, 3 Pm 3.29, 1 Pr 3.32
In4 0.6244 0.6244 0.1269  1 Pm 3.28, 4 Er 3.29-3.32, 3 Pr 3.30

---

# 5
The following is a PBE-GGA calculation of an optimized crystal structure of PmErInPt, from Alexandria.

Output
Formation energy ... -712 meV per atom

a = 5.1763 Å, b = 5.1763 Å, c = 5.1763 Å
α = 60.00°, β = 60.00°, γ = 60.00°
Last column: nearest neighbours and their distance in Å.
Atoms (fractional coordinates):
Pm1 0.5000 0.5000 0.5000  4 In 3.17, 4 Pt 3.17
In1 0.2500 0.2500 0.2500  4 Er 3.17, 4 Pm 3.17
Pt1 0.7500 0.7500 0.7500  4 Pm 3.17, 4 Er 3.17
Er1 0.0000 0.0000 0.0000  4 Pt 3.17, 4 In 3.17

---

# 6
The following is a PBE-GGA calculation of an optimized crystal structure of PmEr2InRh4, from Alexandria.

Output
Formation energy ... -776 meV per atom

a = 4.7882 Å, b = 4.7882 Å, c = 8.2793 Å
α = 73.19°, β = 73.19°, γ = 60.00°
Last column: nearest neighbours and their distance in Å.
Atoms (fractional coordinates):
Pm1 0.0000 0.0000 0.0000  8 Rh 2.93-2.95
Er1 0.7561 0.7561 0.7317  7 Rh 2.78-2.96
Er2 0.2439 0.2439 0.2683  7 Rh 2.78-2.96
In1 0.5000 0.5000 0.5000  8 Rh 2.86-2.93
Rh1 0.3777 0.3777 0.8668  1 In 2.86, 3 Pm 2.95, 4 Er 2.96-3.13
Rh2 0.8751 0.8751 0.3748  4 Er 2.78-2.89, 1 Pm 2.93, 3 In 2.93
Rh3 0.1249 0.1249 0.6252  4 Er 2.78-2.89, 1 Pm 2.93, 3 In 2.93
Rh4 0.6223 0.6223 0.1332  1 In 2.86, 3 Pm 2.95, 4 Er 2.96-3.13

---

# 7
The following is a PBE-GGA calculation of an optimized crystal structure of PmEr2ScIn4, from Alexandria.

Output
Formation energy ... -432 meV per atom

a = 5.2563 Å, b = 5.2563 Å, c = 9.1579 Å
α = 73.32°, β = 73.32°, γ = 60.00°
Last column: nearest neighbours and their distance in Å.
Atoms (fractional coordinates):
Pm1 0.0000 0.0000 0.0000  8 In 3.25-3.31
Er1 0.7511 0.7511 0.7467  8 In 3.14-3.35
Er2 0.2489 0.2489 0.2533  8 In 3.14-3.35
Sc1 0.5000 0.5000 0.5000  8 In 3.16-3.20
In1 0.3781 0.3781 0.8657  1 Sc 3.16, 4 Er 3.20-3.35, 3 Pm 3.25
In2 0.8724 0.8724 0.3829  4 Er 3.14-3.23, 3 Sc 3.20, 1 Pm 3.31
In3 0.1276 0.1276 0.6171  4 Er 3.14-3.23, 3 Sc 3.20, 1 Pm 3.31
In4 0.6219 0.6219 0.1343  1 Sc 3.16, 4 Er 3.20-3.35, 3 Pm 3.25

---

# 8
The following is a PBE-GGA calculation of an optimized crystal structure of PmErIn2Se4, from Alexandria.

Output
Formation energy from raw total energies ... -1.292 eV per atom

a = 4.1863 Å, b = 7.2523 Å, c = 8.1084 Å
α = 107.34°, β = 90.00°, γ = 90.00°
Last column: nearest neighbours and their distance in Å.
Atoms (fractional coordinates):
Pm1 0.5000 0.5000 0.0000  6 Se 2.95
Er1 0.0000 0.0000 0.0000  6 Se 2.87-2.88
In1 0.5000 0.0000 0.5000  6 Se 3.27
In2 0.0000 0.5000 0.5000  6 Se 3.33
Se1 0.5000 0.2281 0.2081  2 Er 2.88, 1 Pm 2.95
Se2 0.5000 0.7719 0.7919  2 Er 2.88, 1 Pm 2.95
Se3 0.0000 0.2546 0.7879  1 Er 2.87, 2 Pm 2.95
Se4 0.0000 0.7454 0.2121  1 Er 2.87, 2 Pm 2.95

---

# 9
The following is a PBE-GGA calculation of an optimized crystal structure of Pm2ErIn3Se6, from Alexandria.

Output
Formation energy from raw total energies ... -1.294 eV per atom

a = 7.2951 Å, b = 7.2951 Å, c = 8.1060 Å
α = 98.62°, β = 98.62°, γ = 119.98°
Last column: nearest neighbours and their distance in Å.
Atoms (fractional coordinates):
Pm1 0.3334 0.6666 0.0000  6 Se 2.95-2.96
Pm2 0.6666 0.3334 0.0000  6 Se 2.95-2.96
Er1 0.0000 0.0000 0.0000  6 Se 2.87-2.89
In1 0.1682 0.8318 0.5000  6 Se 3.28-3.34
In2 0.8318 0.1682 0.5000  6 Se 3.28-3.34
In3 0.5000 0.5000 0.5000  6 Se 3.28-3.34
Se1 0.9298 0.6053 0.7895  1 Er 2.87, 2 Pm 2.95
Se2 0.7464 0.7464 0.2130  1 Er 2.89, 2 Pm 2.96
Se3 0.0702 0.3947 0.2105  1 Er 2.87, 2 Pm 2.95
Se4 0.6053 0.9298 0.7895  1 Er 2.87, 2 Pm 2.95
Se5 0.2536 0.2536 0.7870  1 Er 2.89, 2 Pm 2.96
Se6 0.3947 0.0702 0.2105  1 Er 2.87, 2 Pm 2.95

---

# 10
The following is a PBE-GGA calculation of an optimized crystal structure of PmSmErIn, from Alexandria.

Output
Formation energy ... -152 meV per atom

a = 5.5162 Å, b = 5.5162 Å, c = 5.5162 Å
α = 60.00°, β = 60.00°, γ = 60.00°
Last column: nearest neighbours and their distance in Å.
Atoms (fractional coordinates):
Pm1 0.0000 0.0000 0.0000  4 Er 3.38, 4 In 3.38
In1 0.2500 0.2500 0.2500  4 Pm 3.38, 4 Sm 3.38
Sm1 0.5000 0.5000 0.5000  4 In 3.38, 4 Er 3.38
Er1 0.7500 0.7500 0.7500  4 Sm 3.38, 4 Pm 3.38

---

# 11
The following is a PBE-GGA calculation of an optimized crystal structure of Pm3Sm6Er2In, from Alexandria.

Output
Formation energy ... -32 meV per atom

a = 6.2213 Å, b = 6.2213 Å, c = 11.7698 Å
α = 95.13°, β = 95.13°, γ = 120.16°
Last column: nearest neighbours and their distance in Å.
Atoms (fractional coordinates):
Pm1 0.1685 0.8315 0.5000  6 Pm 3.57-3.63, 6 Sm 3.61-3.64
Pm2 0.8315 0.1685 0.5000  6 Pm 3.57-3.63, 6 Sm 3.61-3.64
Pm3 0.5000 0.5000 0.5000  6 Pm 3.58-3.60, 6 Sm 3.62-3.63
Sm1 0.9204 0.5934 0.7574  1 In 3.46, 2 Er 3.50-3.51, 6 Sm 3.52-3.63, 3 Pm 3.62-3.64
Sm2 0.7531 0.7531 0.2448  1 In 3.50, 2 Er 3.51, 6 Sm 3.52-3.63, 3 Pm 3.61-3.63
Sm3 0.0796 0.4066 0.2426  1 In 3.46, 2 Er 3.50-3.51, 6 Sm 3.52-3.63, 3 Pm 3.62-3.64
Sm4 0.5934 0.9204 0.7574  1 In 3.46, 2 Er 3.50-3.51, 6 Sm 3.52-3.63, 3 Pm 3.62-3.64
Sm5 0.2469 0.2469 0.7552  1 In 3.50, 2 Er 3.51, 6 Sm 3.52-3.63, 3 Pm 3.61-3.63
Sm6 0.4066 0.0796 0.2426  1 In 3.46, 2 Er 3.50-3.51, 6 Sm 3.52-3.63, 3 Pm 3.62-3.64
Er1 0.3341 0.6659 0.0000  6 Sm 3.50-3.51, 3 Er 3.58-3.59, 3 In 3.58-3.60
Er2 0.6659 0.3341 0.0000  6 Sm 3.50-3.51, 3 Er 3.58-3.59, 3 In 3.58-3.60
In1 0.0000 0.0000 0.0000  6 Sm 3.46-3.50, 6 Er 3.58-3.60

---

# 12
The following is a PBE-GGA calculation of an optimized crystal structure of PmSmErIn, from Alexandria.

Output
Formation energy ... -229 meV per atom

a = 4.8302 Å, b = 4.8302 Å, c = 6.0842 Å
α = 113.39°, β = 113.39°, γ = 90.00°
Last column: nearest neighbours and their distance in Å.
Atoms (fractional coordinates):
Pm1 0.7500 0.2500 0.5000  4 In 3.42, 4 Er 3.49, 4 Sm 3.49
Sm1 0.5000 0.5000 0.0000  4 Er 3.42, 4 In 3.49, 4 Pm 3.49
Er1 0.0000 0.0000 0.0000  4 Sm 3.42, 4 Pm 3.49, 4 In 3.49
In1 0.2500 0.7500 0.5000  4 Pm 3.42, 4 Er 3.49, 4 Sm 3.49